(1)
First-principles (PBE) data for Pr8Ag2Os after structural relaxation, as listed in Alexandria via LeMat-Bulk.

It has space group C2/m (No. 12), with a = 18.1656 Å, b = 5.3489 Å, c = 7.1778 Å, α = 90.00°, β = 106.07° and γ = 90.00°. The asymmetric unit holds Pr at (0.0240, 0.0000, 0.2928), Pr at (0.0885, 0.5000, 0.9356), Pr at (0.1579, 0.5000, 0.4752), Pr at (0.2024, 0.0000, 0.8141), Ag at (0.1824, 0.0000, 0.2204) and Os at (0.0000, 0.5000, 0.5000).

For the calculated formation energy, the calculation gives -0.070 eV per atom. The value obtained for the excess energy over the best structure of this formula in the dataset is 0.000 eV per atom.

***

(2)
First-principles (PBE) data for Pu3Np2S8 after structural relaxation, as listed in Alexandria via LeMat-Bulk.

It has space group C2/m (No. 12), with a = 13.9722 Å, b = 7.9005 Å, c = 6.6547 Å, α = 90.00°, β = 109.53° and γ = 90.00°. The asymmetric unit holds Pu at (0.0000, 0.0000, 0.0000), Pu at (0.0000, 0.2592, 0.5000), Np at (0.2371, 0.5000, 0.1532), S at (0.1117, 0.5000, 0.3961), S at (0.1172, 0.0000, 0.4339) and S at (0.1267, 0.2321, 0.9183).

The calculation puts the formation energy (no corrections) at -1.3832 eV per atom.

***

(3)
First-principles (PBE) data for Hf4AlSi after structural relaxation, as listed in Alexandria via LeMat-Bulk.

It has space group P4/mcc (No. 124), with a = 6.6977 Å, b = 6.6977 Å, c = 5.2286 Å, α = 90.00°, β = 90.00° and γ = 90.00°. The asymmetric unit holds Hf at (0.1490, 0.3410, 0.0000), Al at (0.5000, 0.5000, 0.2500) and Si at (0.0000, 0.0000, 0.2500).

The calculation puts the formation energy (no corrections) at -0.5008 eV per atom. The value obtained for the excess energy over the best structure of this formula in the dataset is 0.010 eV per atom.

***

(4)
First-principles (PBE) data for SrNbAu2 after structural relaxation, as listed in Alexandria via LeMat-Bulk.

It has space group I-42d (No. 122), with a = 7.7237 Å, b = 7.7237 Å, c = 7.2419 Å, α = 90.00°, β = 90.00° and γ = 90.00°. The asymmetric unit holds Sr at (0.0000, 0.0000, 0.0000), Nb at (0.0000, 0.0000, 0.5000) and Au at (0.1940, 0.2500, 0.6250).

For the calculated formation energy, the calculation gives 0.194 eV per atom. The value obtained for the excess energy over the best structure of this formula in the dataset is 0.126 eV per atom.

***

(5)
First-principles (PBE) data for Tm4MgS2 after structural relaxation, as listed in Alexandria via LeMat-Bulk.

It has space group Cmcm (No. 63), with a = 3.8993 Å, b = 12.9478 Å, c = 13.4640 Å, α = 90.00°, β = 90.00° and γ = 90.00°. The asymmetric unit holds Tm at (0.0000, 0.0000, 0.0000), Tm at (0.0000, 0.2630, 0.1160), Tm at (0.0000, 0.4194, 0.7500), Mg at (0.0000, 0.1050, 0.7500) and S at (0.0000, 0.3654, 0.5560).

The calculation puts the formation energy (no corrections) at -1.0919 eV per atom.

***

(6)
First-principles (PBE) data for HoEr4Ru after structural relaxation, as listed in Alexandria via LeMat-Bulk.

It has space group Immm (No. 71), with a = 5.9836 Å, b = 7.3502 Å, c = 15.4809 Å, α = 90.00°, β = 90.00° and γ = 90.00°. The asymmetric unit holds Ho at (0.0000, 0.0000, 0.2000), Er at (0.0000, 0.2087, 0.0000), Er at (0.0000, 0.2515, 0.3859), Er at (0.0000, 0.5000, 0.1717) and Ru at (0.2383, 0.0000, 0.5000).

For the calculated formation energy, the calculation gives -0.139 eV per atom.

***

(7)
First-principles (PBE) data for Sr2SbAsRh6 after structural relaxation, as listed in Alexandria via LeMat-Bulk.

It has space group R-3 (No. 148, hexagonal axes), with a = 6.6547 Å, b = 6.6547 Å, c = 16.1926 Å, α = 90.00°, β = 90.00° and γ = 120.00°. The asymmetric unit holds Sr at (0.0000, 0.0000, 0.1955), Sb at (0.0000, 0.0000, 0.5000), As at (0.0000, 0.0000, 0.0000) and Rh at (0.0485, 0.7916, 0.6313).

The calculation puts the formation energy (no corrections) at -0.4097 eV per atom.

***

(8)
First-principles (PBE) data for LaHgSeF2 after structural relaxation, as listed in Alexandria via LeMat-Bulk.

It has space group P4/mmm (No. 123), with a = 4.5902 Å, b = 4.5902 Å, c = 6.1494 Å, α = 90.00°, β = 90.00° and γ = 90.00°. The asymmetric unit holds La at (0.0000, 0.0000, 0.0000), Hg at (0.5000, 0.5000, 0.5000), Se at (0.0000, 0.0000, 0.5000) and F at (0.0000, 0.5000, 0.0000).

The calculation puts the formation energy (no corrections) at -2.4334 eV per atom.

***

(9)
First-principles (PBE) data for NaHoP2O6 after structural relaxation, as listed in Alexandria via LeMat-Bulk.

It has space group C2/c (No. 15), with a = 6.8925 Å, b = 10.8151 Å, c = 7.6876 Å, α = 90.00°, β = 113.49° and γ = 90.00°. The asymmetric unit holds Na at (0.0000, 0.1331, 0.2500), Ho at (0.0000, 0.2830, 0.7500), P at (0.1629, 0.4099, 0.2429), O at (0.1565, 0.1495, 0.5873), O at (0.1632, 0.3310, 0.0735) and O at (0.1901, 0.4505, 0.7236).

The calculation puts the formation energy (no corrections) at -2.5371 eV per atom.

***

(10)
First-principles (PBE) data for LiTa2Al after structural relaxation, as listed in Alexandria via LeMat-Bulk.

It has space group I-4m2 (No. 119), with a = 3.9193 Å, b = 3.9193 Å, c = 8.5711 Å, α = 90.00°, β = 90.00° and γ = 90.00°. The asymmetric unit holds Li at (0.0000, 0.0000, 0.0000), Ta at (0.0000, 0.0000, 0.5000), Ta at (0.0000, 0.5000, 0.7500) and Al at (0.0000, 0.5000, 0.2500).

For the calculated formation energy, the calculation gives 0.151 eV per atom. The value obtained for the excess energy over the best structure of this formula in the dataset is 0.120 eV per atom.

***

(11)
First-principles (PBE) data for SmPuGaHg after structural relaxation, as listed in Alexandria via LeMat-Bulk.

It has space group F-43m (No. 216), with a = 7.4327 Å, b = 7.4327 Å, c = 7.4327 Å, α = 90.00°, β = 90.00° and γ = 90.00°. The asymmetric unit holds Sm at (0.0000, 0.0000, 0.0000), Pu at (0.0000, 0.0000, 0.5000), Ga at (0.2500, 0.2500, 0.2500) and Hg at (0.2500, 0.2500, 0.7500).

For the calculated formation energy, the calculation gives -0.314 eV per atom.

***

(12)
First-principles (PBE) data for Ta2Cu2Pt after structural relaxation, as listed in Alexandria via LeMat-Bulk.

It has space group P4/mbm (No. 127), with a = 6.5744 Å, b = 6.5744 Å, c = 3.5032 Å, α = 90.00°, β = 90.00° and γ = 90.00°. The asymmetric unit holds Ta at (0.1707, 0.3293, 0.0000), Cu at (0.1281, 0.6281, 0.5000) and Pt at (0.0000, 0.0000, 0.5000).

For the calculated formation energy, the calculation gives -0.093 eV per atom.

***

(13)
First-principles (PBE) data for PmGaNi4H6 after structural relaxation, as listed in Alexandria via LeMat-Bulk.

It has space group P6/mmm (No. 191), with a = 4.3016 Å, b = 4.3016 Å, c = 6.6687 Å, α = 90.00°, β = 90.00° and γ = 120.00°. The asymmetric unit holds Pm at (0.0000, 0.0000, 0.0000), Ga at (0.0000, 0.0000, 0.5000), Ni at (0.3333, 0.6667, 0.3196) and H at (0.0000, 0.5000, 0.1654).

***

(14)
First-principles (PBE) data for CaMg3Cl after structural relaxation, as listed in Alexandria via LeMat-Bulk.

It has space group Pm-3m (No. 221), with a = 5.2756 Å, b = 5.2756 Å, c = 5.2756 Å, α = 90.00°, β = 90.00° and γ = 90.00°. The asymmetric unit holds Ca at (0.0000, 0.0000, 0.0000), Mg at (0.0000, 0.5000, 0.5000) and Cl at (0.5000, 0.5000, 0.5000).

The calculation puts the formation energy (no corrections) at -0.0794 eV per atom. The value obtained for the excess energy over the best structure of this formula in the dataset is 0.000 eV per atom.

***

(15)
First-principles (PBE) data for NaY2BeS after structural relaxation, as listed in Alexandria via LeMat-Bulk.

It has space group P4/mmm (No. 123), with a = 5.5676 Å, b = 5.5676 Å, c = 4.0299 Å, α = 90.00°, β = 90.00° and γ = 90.00°. The asymmetric unit holds Na at (0.0000, 0.0000, 0.0000), Y at (0.0000, 0.5000, 0.0000), Be at (0.0000, 0.0000, 0.5000) and S at (0.5000, 0.5000, 0.5000).

The calculation puts the formation energy (no corrections) at 0.7905 eV per atom.

***

(16)
First-principles (PBE) data for Cs2Hg5Sb4 after structural relaxation, as listed in Alexandria via LeMat-Bulk.

It has space group C2/m (No. 12), with a = 13.3030 Å, b = 7.6725 Å, c = 10.7438 Å, α = 90.00°, β = 127.18° and γ = 90.00°. The asymmetric unit holds Cs at (0.0419, 0.0000, 0.2786), Hg at (0.0000, 0.5000, 0.0000), Hg at (0.2300, 0.2136, 0.7436), Sb at (0.0776, 0.5000, 0.4523) and Sb at (0.1297, 0.5000, 0.8681).

The calculation puts the formation energy (no corrections) at -0.1491 eV per atom.

***

(17)
First-principles (PBE) data for NpAl3Ga3 after structural relaxation, as listed in Alexandria via LeMat-Bulk.

It has space group P6_3/m (No. 176), with a = 8.0940 Å, b = 8.0940 Å, c = 4.7164 Å, α = 90.00°, β = 90.00° and γ = 120.00°. The asymmetric unit holds Np at (0.3333, 0.6667, 0.2500), Al at (0.0860, 0.6312, 0.7500) and Ga at (0.0404, 0.8024, 0.2500).

For the calculated formation energy, the calculation gives 0.111 eV per atom. The value obtained for the excess energy over the best structure of this formula in the dataset is 0.089 eV per atom.

***

(18)
First-principles (PBE) data for PaPdRu2 after structural relaxation, as listed in Alexandria via LeMat-Bulk.

It has space group P4/mmm (No. 123), with a = 4.1502 Å, b = 4.1502 Å, c = 3.9157 Å, α = 90.00°, β = 90.00° and γ = 90.00°. The asymmetric unit holds Pa at (0.0000, 0.0000, 0.0000), Pd at (0.5000, 0.5000, 0.0000) and Ru at (0.0000, 0.5000, 0.5000).

For the calculated formation energy, the calculation gives -0.515 eV per atom. The value obtained for the excess energy over the best structure of this formula in the dataset is 0.000 eV per atom.

***

(19)
First-principles (PBE) data for H3OsS after structural relaxation, as listed in Alexandria via LeMat-Bulk.

It has space group Pm-3m (No. 221), with a = 3.5118 Å, b = 3.5118 Å, c = 3.5118 Å, α = 90.00°, β = 90.00° and γ = 90.00°. The asymmetric unit holds H at (0.0000, 0.0000, 0.5000), Os at (0.0000, 0.0000, 0.0000) and S at (0.5000, 0.5000, 0.5000).

The value obtained for the excess energy over the best structure of this formula in the dataset is 0.000 eV per atom.

***

(20)
First-principles (PBE) data for BaNa2LiZn after structural relaxation, as listed in Alexandria via LeMat-Bulk.

It has space group P4/mmm (No. 123), with a = 7.6084 Å, b = 7.6084 Å, c = 7.1133 Å, α = 90.00°, β = 90.00° and γ = 90.00°. The asymmetric unit holds Ba at (0.0000, 0.0000, 0.0000), Na at (0.0000, 0.5000, 0.0000), Li at (0.0000, 0.0000, 0.5000) and Zn at (0.5000, 0.5000, 0.5000).

For the calculated formation energy, the calculation gives 0.839 eV per atom. The value obtained for the excess energy over the best structure of this formula in the dataset is 0.752 eV per atom.

***

| no. | VASP energy (eV/atom) | size of the total moment (Bohr magnetons per cell) |
| --- | --- | --- |
| 1 | -5.0849 | 0.00 |
| 2 | -9.2214 | 5.54 |
| 3 | -8.6641 | 0.00 |
| 4 | -4.3826 | 0.00 |
| 5 | -5.0541 | 0.00 |
| 6 | -5.4900 | 0.00 |
| 7 | -6.0341 | 0.00 |
| 8 | -4.9247 | 0.00 |
| 9 | -7.1837 | 0.00 |
| 10 | -7.1890 | 0.00 |
| 11 | -5.9089 | 25.37 |
| 12 | -7.6812 | 0.00 |
| 13 | -4.5579 | 0.00 |
| 14 | -1.8059 | 0.00 |
| 15 | -3.6297 | 0.00 |
| 16 | -1.9405 | 0.00 |
| 17 | -4.6391 | 8.71 |
| 18 | -8.8251 | 0.00 |
| 19 | -4.2070 | 0.00 |
| 20 | -0.7104 | 1.00 |